1.
## CrRuAu (GGA-PBE)

Data for crystalline CrRuAu at its relaxed geometry.

Geometry as POSCAR:
```
CrRuAu
1.0
-1.414 1.414 5.661
1.414 -1.414 5.661
1.414 1.414 -5.661
Cr Ru Au
1 1 1
Cartesian
0.000 0.000 0.000 Cr
0.000 0.000 4.175 Ru
0.000 0.000 7.677 Au
```

Output
As for the calculated formation energy: 184 meV/atom. The energy above the most stable polymorph in this dataset comes out at 0 meV per atom. Its space group is I4mm. The total energy comes out at -7.209 eV/atom. As for the density of states at the Fermi level: 0.988 states/eV per atom.



2.
## CrSnRuAu2 (GGA-PBE)

Data for crystalline CrSnRuAu2 at its relaxed geometry.

Geometry as POSCAR:
```
CrSnRuAu2
1.0
4.866 0.000 0.000
0.000 4.866 0.000
0.000 0.000 4.939
Cr Sn Ru Au
1 1 1 2
Cartesian
0.000 0.000 0.000 Cr
0.000 0.000 2.469 Sn
2.433 2.433 2.469 Ru
0.000 2.433 0.000 Au
2.433 0.000 0.000 Au
```

Output
As for the calculated formation energy: 1276 meV/atom. Its space group is P4/mmm. The total energy comes out at -4.616 eV/atom. As for the density of states at the Fermi level: 0.982 states/eV per atom.



3.
## CrTe2RuAu (GGA-PBE)

Data for crystalline CrTe2RuAu at its relaxed geometry.

Geometry as POSCAR:
```
CrTe2RuAu
1.0
5.306 0.000 0.000
0.000 5.306 0.000
0.000 0.000 4.694
Cr Te Ru Au
1 2 1 1
Cartesian
0.000 0.000 0.000 Cr
0.000 2.653 2.347 Te
2.653 0.000 2.347 Te
2.653 2.653 0.000 Ru
0.000 0.000 2.347 Au
```

Output
Its space group is P4/mmm. Its formation energy without anion corrections is 41.41 kcal/mol of atoms. The total energy comes out at -3.896 eV/atom. As for the density of states at the Fermi level: 1.885 states/eV per atom.



4.
## ZnCrRuAu (GGA-PBE)

Data for crystalline ZnCrRuAu at its relaxed geometry.

Geometry as POSCAR:
```
ZnCrRuAu
1.0
0.000 3.091 3.091
3.091 0.000 3.091
3.091 3.091 0.000
Zn Cr Ru Au
1 1 1 1
Cartesian
0.000 0.000 0.000 Zn
3.091 3.091 3.091 Cr
1.545 1.545 1.545 Ru
4.636 4.636 4.636 Au
```

Output
As for the calculated formation energy: 117 meV/atom. Its space group is F-43m. The total energy comes out at -5.745 eV/atom. As for the density of states at the Fermi level: 1.042 states/eV per atom.



Across the entries above, total moment takes the values 1.75, 5.92, 0.34, 2.83 μB per formula unit, respectively.